Entry 1:
# PBE-GGA DyEr2Sc6, relaxed
data_DyEr2Sc6
_space_group_name_H-M_alt 'C 1 2/m 1'
_space_group_IT_number 12
_space_group_name_Hall '-C 2y'
_cell_length_a 11.570
_cell_length_b 13.702
_cell_length_c 3.206
_cell_angle_alpha 90.00
_cell_angle_beta 105.95
_cell_angle_gamma 90.00
loop_
_atom_site_label
_atom_site_fract_x
_atom_site_fract_y
_atom_site_fract_z
_atom_site_occupancy
Dy1 0.000 0.000 0.000 1
Er1 0.218 0.500 0.217 1
Sc1 0.000 0.391 0.500 1
Sc2 0.142 0.202 0.642 1
# DOS(E_F) ... 14.8 states/eV/f.u.
# E ... -5.4991 eV per atom
# Relative energy among the computed polymorphs ... 176 meV per atom

Entry 2:
# PBE-GGA Dy3Er6Sc, relaxed
data_Dy3Er6Sc
_space_group_name_H-M_alt 'C m c 21'
_space_group_IT_number 36
_space_group_name_Hall 'C 2c -2'
_cell_length_a 10.810
_cell_length_b 18.694
_cell_length_c 6.101
_cell_angle_alpha 90.00
_cell_angle_beta 90.00
_cell_angle_gamma 90.00
loop_
_atom_site_label
_atom_site_fract_x
_atom_site_fract_y
_atom_site_fract_z
_atom_site_occupancy
Dy1 0.000 0.111 0.000 1
Dy2 0.166 0.389 0.613 1
Er1 0.000 0.220 0.429 1
Er2 0.000 0.451 0.142 1
Er3 0.164 0.047 0.530 1
Er4 0.247 0.210 0.707 1
Sc1 0.000 0.293 0.930 1
# DOS(E_F) ... 15.2 states/eV/f.u.
# E ... -4.6070 eV per atom
# Relative energy among the computed polymorphs ... 0 meV per atom

Entry 3:
# PBE-GGA Dy5Er12Sc2, relaxed
data_Dy5Er12Sc2
_space_group_name_H-M_alt 'C 1 2/m 1'
_space_group_IT_number 12
_space_group_name_Hall '-C 2y'
_cell_length_a 15.255
_cell_length_b 9.091
_cell_length_c 8.446
_cell_angle_alpha 90.00
_cell_angle_beta 92.24
_cell_angle_gamma 90.00
loop_
_atom_site_label
_atom_site_fract_x
_atom_site_fract_y
_atom_site_fract_z
_atom_site_occupancy
Dy1 0.000 0.000 0.000 1
Dy2 0.205 0.500 0.523 1
Dy3 0.231 0.000 0.069 1
Er1 0.056 0.500 0.835 1
Er2 0.073 0.000 0.375 1
Er3 0.130 0.307 0.177 1
Er4 0.147 0.181 0.736 1
Sc1 0.000 0.332 0.500 1
# DOS(E_F) ... 28.1 states/eV/f.u.
# E ... -4.6383 eV per atom

Entry 4:
# PBE-GGA Dy3Er3Sc5, relaxed
data_Dy3Er3Sc5
_space_group_name_H-M_alt 'P -6 2 m'
_space_group_IT_number 189
_space_group_name_Hall 'P -6 -2'
_cell_length_a 8.9964
_cell_length_b 8.9964
_cell_length_c 5.3850
_cell_angle_alpha 90.00
_cell_angle_beta 90.00
_cell_angle_gamma 120.00
loop_
_atom_site_label
_atom_site_fract_x
_atom_site_fract_y
_atom_site_fract_z
_atom_site_occupancy
Dy1 0.0000 0.6047 0.0000 1
Er1 0.0000 0.3808 0.5000 1
Sc1 0.0000 0.7550 0.5000 1
Sc2 0.3333 0.6667 0.5000 1
# DOS(E_F) ... 16.9 states/eV/f.u.
# E ... -4.5562 eV per atom

Entry 5:
# PBE-GGA Dy2Er12Sc5, relaxed
data_Dy2Er12Sc5
_space_group_name_H-M_alt 'C 1 2/m 1'
_space_group_IT_number 12
_space_group_name_Hall '-C 2y'
_cell_length_a 15.851
_cell_length_b 8.627
_cell_length_c 8.260
_cell_angle_alpha 90.00
_cell_angle_beta 91.30
_cell_angle_gamma 90.00
loop_
_atom_site_label
_atom_site_fract_x
_atom_site_fract_y
_atom_site_fract_z
_atom_site_occupancy
Dy1 0.000 0.213 0.000 1
Er1 0.055 0.500 0.277 1
Er2 0.109 0.293 0.613 1
Er3 0.166 0.000 0.870 1
Er4 0.188 0.204 0.223 1
Sc1 0.000 0.000 0.500 1
Sc2 0.147 0.500 0.942 1
Sc3 0.245 0.000 0.548 1
# DOS(E_F) ... 30.8 states/eV/f.u.
# E ... -4.8839 eV per atom

Entry 6:
# PBE-GGA Dy2Er3Sc, relaxed
data_Dy2Er3Sc
_space_group_name_H-M_alt 'C 1 2/c 1'
_space_group_IT_number 15
_space_group_name_Hall '-C 2yc'
_cell_length_a 17.023
_cell_length_b 6.958
_cell_length_c 6.025
_cell_angle_alpha 90.00
_cell_angle_beta 90.04
_cell_angle_gamma 90.00
loop_
_atom_site_label
_atom_site_fract_x
_atom_site_fract_y
_atom_site_fract_z
_atom_site_occupancy
Dy1 0.165 0.126 0.415 1
Er1 0.000 0.128 0.750 1
Er2 0.164 0.376 0.920 1
Sc1 0.000 0.377 0.250 1
# DOS(E_F) ... 8.7 states/eV/f.u.
# E ... -4.8340 eV per atom
# Relative energy among the computed polymorphs ... 0 meV per atom

Entry 7:
# PBE-GGA Dy2Er5Sc, relaxed
data_Dy2Er5Sc
_space_group_name_H-M_alt 'P b a m'
_space_group_IT_number 55
_space_group_name_Hall '-P 2 2ab'
_cell_length_a 6.971
_cell_length_b 13.950
_cell_length_c 4.917
_cell_angle_alpha 90.00
_cell_angle_beta 90.00
_cell_angle_gamma 90.00
loop_
_atom_site_label
_atom_site_fract_x
_atom_site_fract_y
_atom_site_fract_z
_atom_site_occupancy
Dy1 0.248 0.124 0.000 1
Er1 0.000 0.500 0.500 1
Er2 0.001 0.752 0.500 1
Er3 0.250 0.376 0.000 1
Sc1 0.000 0.000 0.500 1
# DOS(E_F) ... 10.2 states/eV/f.u.
# E ... -4.7629 eV per atom
# Relative energy among the computed polymorphs ... 19 meV per atom

Entry 8:
# PBE-GGA Dy3Er5Sc, relaxed
data_Dy3Er5Sc
_space_group_name_H-M_alt 'C 1 2/m 1'
_space_group_IT_number 12
_space_group_name_Hall '-C 2y'
_cell_length_a 12.000
_cell_length_b 11.052
_cell_length_c 11.414
_cell_angle_alpha 90.00
_cell_angle_beta 119.88
_cell_angle_gamma 90.00
loop_
_atom_site_label
_atom_site_fract_x
_atom_site_fract_y
_atom_site_fract_z
_atom_site_occupancy
Dy1 0.000 0.000 0.000 1
Dy2 0.000 0.000 0.500 1
Dy3 0.179 0.500 0.241 1
Dy4 0.218 0.000 0.343 1
Er1 0.000 0.284 0.000 1
Er2 0.006 0.500 0.373 1
Er3 0.176 0.256 0.803 1
Er4 0.176 0.500 0.956 1
Sc1 0.069 0.000 0.790 1
# DOS(E_F) ... 12.7 states/eV/f.u.
# E ... -4.1711 eV per atom

Entry 9:
# PBE-GGA Dy10ErSc6, relaxed
data_Dy10ErSc6
_space_group_name_H-M_alt 'P -3 1 m'
_space_group_IT_number 162
_space_group_name_Hall '-P 3 2'
_cell_length_a 9.3481
_cell_length_b 9.3481
_cell_length_c 6.6108
_cell_angle_alpha 90.00
_cell_angle_beta 90.00
_cell_angle_gamma 120.00
loop_
_atom_site_label
_atom_site_fract_x
_atom_site_fract_y
_atom_site_fract_z
_atom_site_occupancy
Dy1 0.0000 0.2811 0.1816 1
Dy2 0.3333 0.6667 0.0000 1
Dy3 0.3333 0.6667 0.5000 1
Er1 0.0000 0.0000 0.5000 1
Sc1 0.0000 0.3677 0.6813 1
# DOS(E_F) ... 31.3 states/eV/f.u.
# E ... -5.0733 eV per atom

Entry 10:
# PBE-GGA Dy3Er6Sc, relaxed
data_Dy3Er6Sc
_space_group_name_H-M_alt 'R 3'
_space_group_IT_number 146
_space_group_name_Hall 'R 3'
_cell_length_a 9.6552
_cell_length_b 9.6552
_cell_length_c 11.5304
_cell_angle_alpha 90.00
_cell_angle_beta 90.00
_cell_angle_gamma 120.00
loop_
_atom_site_label
_atom_site_fract_x
_atom_site_fract_y
_atom_site_fract_z
_atom_site_occupancy
Dy1 0.0000 0.0000 0.0000 1
Dy2 0.0000 0.0000 0.2475 1
Dy3 0.0000 0.0000 0.5072 1
Er1 0.0008 0.6772 0.8454 1
Er2 0.0079 0.3371 0.3452 1
Sc1 0.0000 0.0000 0.7508 1
# DOS(E_F) ... 19.7 states/eV/f.u.
# E ... -4.4959 eV per atom
# Relative energy among the computed polymorphs ... 111 meV per atom

Entry 11:
# PBE-GGA Dy4Er19Sc6, relaxed
data_Dy4Er19Sc6
_space_group_name_H-M_alt 'I 2 3'
_space_group_IT_number 197
_space_group_name_Hall 'I 2 2 3'
_cell_length_a 12.177
_cell_length_b 12.177
_cell_length_c 12.177
_cell_angle_alpha 90.00
_cell_angle_beta 90.00
_cell_angle_gamma 90.00
loop_
_atom_site_label
_atom_site_fract_x
_atom_site_fract_y
_atom_site_fract_z
_atom_site_occupancy
Dy1 0.179 0.179 0.179 1
Er1 0.000 0.000 0.000 1
Er2 0.000 0.000 0.266 1
Er3 0.059 0.280 0.727 1
Sc1 0.000 0.119 0.500 1
# DOS(E_F) ... 39.2 states/eV/f.u.
# E ... -4.5362 eV per atom

Entry 12:
# PBE-GGA Dy2ErSc7, relaxed
data_Dy2ErSc7
_space_group_name_H-M_alt 'C m m m'
_space_group_IT_number 65
_space_group_name_Hall '-C 2 2'
_cell_length_a 6.028
_cell_length_b 27.064
_cell_length_c 3.319
_cell_angle_alpha 90.00
_cell_angle_beta 90.00
_cell_angle_gamma 90.00
loop_
_atom_site_label
_atom_site_fract_x
_atom_site_fract_y
_atom_site_fract_z
_atom_site_occupancy
Dy1 0.000 0.211 0.000 1
Er1 0.000 0.500 0.500 1
Sc1 0.000 0.000 0.000 1
Sc2 0.000 0.318 0.500 1
Sc3 0.247 0.402 0.000 1
# DOS(E_F) ... 14.9 states/eV/f.u.
# E ... -5.6610 eV per atom
# Relative energy among the computed polymorphs ... 93 meV per atom

Entry 13:
# PBE-GGA Dy4Er11Sc9, relaxed
data_Dy4Er11Sc9
_space_group_name_H-M_alt 'C m m m'
_space_group_IT_number 65
_space_group_name_Hall '-C 2 2'
_cell_length_a 19.688
_cell_length_b 20.357
_cell_length_c 3.405
_cell_angle_alpha 90.00
_cell_angle_beta 90.00
_cell_angle_gamma 90.00
loop_
_atom_site_label
_atom_site_fract_x
_atom_site_fract_y
_atom_site_fract_z
_atom_site_occupancy
Dy1 0.137 0.084 0.000 1
Er1 0.000 0.157 0.500 1
Er2 0.000 0.329 0.500 1
Er3 0.000 0.500 0.500 1
Er4 0.234 0.500 0.500 1
Er5 0.244 0.332 0.500 1
Sc1 0.000 0.000 0.000 1
Sc2 0.118 0.413 0.000 1
Sc3 0.124 0.246 0.000 1
# DOS(E_F) ... 37.5 states/eV/f.u.
# E ... -5.1516 eV per atom

Entry 14:
# PBE-GGA Dy4ErSc6, relaxed
data_Dy4ErSc6
_space_group_name_H-M_alt 'I -4 2 m'
_space_group_IT_number 121
_space_group_name_Hall 'I -4 2'
_cell_length_a 6.328
_cell_length_b 6.328
_cell_length_c 15.743
_cell_angle_alpha 90.00
_cell_angle_beta 90.00
_cell_angle_gamma 90.00
loop_
_atom_site_label
_atom_site_fract_x
_atom_site_fract_y
_atom_site_fract_z
_atom_site_occupancy
Dy1 0.191 0.191 0.320 1
Er1 0.000 0.000 0.500 1
Sc1 0.000 0.500 0.000 1
Sc2 0.172 0.172 0.115 1
# DOS(E_F) ... 14.2 states/eV/f.u.
# E ... -5.2504 eV per atom
# Relative energy among the computed polymorphs ... 167 meV per atom

Entry 15:
# PBE-GGA Dy7Er12Sc, relaxed
data_Dy7Er12Sc
_space_group_name_H-M_alt 'R -3'
_space_group_IT_number 148
_space_group_name_Hall '-R 3'
_cell_length_a 18.4324
_cell_length_b 18.4324
_cell_length_c 6.5805
_cell_angle_alpha 90.00
_cell_angle_beta 90.00
_cell_angle_gamma 120.00
loop_
_atom_site_label
_atom_site_fract_x
_atom_site_fract_y
_atom_site_fract_z
_atom_site_occupancy
Dy1 0.0000 0.0000 0.0000 1
Dy2 0.0102 0.1547 0.2969 1
Er1 0.9998 0.2117 0.7969 1
Er2 0.0082 0.5363 0.2374 1
Sc1 0.0000 0.0000 0.5000 1
# DOS(E_F) ... 26.6 states/eV/f.u.
# E ... -4.3441 eV per atom
# Relative energy among the computed polymorphs ... 32 meV per atom

Entry 16:
# PBE-GGA Dy10ErSc4, relaxed
data_Dy10ErSc4
_space_group_name_H-M_alt 'I 4/m'
_space_group_IT_number 87
_space_group_name_Hall '-I 4'
_cell_length_a 10.454
_cell_length_b 10.454
_cell_length_c 9.071
_cell_angle_alpha 90.00
_cell_angle_beta 90.00
_cell_angle_gamma 90.00
loop_
_atom_site_label
_atom_site_fract_x
_atom_site_fract_y
_atom_site_fract_z
_atom_site_occupancy
Dy1 0.000 0.500 0.250 1
Dy2 0.122 0.789 0.183 1
Er1 0.000 0.000 0.000 1
Sc1 0.038 0.234 0.500 1
# DOS(E_F) ... 21.1 states/eV/f.u.
# E ... -4.4925 eV per atom

Entry 17:
# PBE-GGA Dy6ErSc3, relaxed
data_Dy6ErSc3
_space_group_name_H-M_alt 'C m c 21'
_space_group_IT_number 36
_space_group_name_Hall 'C 2c -2'
_cell_length_a 10.411
_cell_length_b 18.532
_cell_length_c 6.146
_cell_angle_alpha 90.00
_cell_angle_beta 90.00
_cell_angle_gamma 90.00
loop_
_atom_site_label
_atom_site_fract_x
_atom_site_fract_y
_atom_site_fract_z
_atom_site_occupancy
Dy1 0.000 0.047 0.000 1
Dy2 0.000 0.301 0.201 1
Dy3 0.167 0.463 0.334 1
Dy4 0.243 0.204 0.011 1
Er1 0.000 0.210 0.685 1
Sc1 0.000 0.386 0.756 1
Sc2 0.188 0.114 0.438 1
# DOS(E_F) ... 13.7 states/eV/f.u.
# E ... -4.9489 eV per atom
# Relative energy among the computed polymorphs ... 39 meV per atom

Calculated formation energy
In order: 0.25; 0.14; 0.12; 0.82; 0.15; 0.04; 0.03; 0.60; 0.14; 0.26; 0.40; 0.15; 0.08; 0.29; 0.32; 0.57; 0.17
Unit: eV/atom